Here is a relaxed LiZn12Cu6 crystal from Alexandria. Energies are from PBE.

As for the total DFT energy (no corrections): -0.0837 Ha/atom. The calculation puts the density of states at the Fermi level at 11.32 states/eV per cell. Its calculated density is 7.6 g/cm3.

The structure belongs to space group R-3 (No. 148, hexagonal axes); the cell edges are 11.6589, 11.6589 and 6.5616 Å and the angles 90.00°, 90.00° and 120.00°. The asymmetric unit holds Li at (0.0000, 0.0000, 0.0000), Zn at (0.0145, 0.8718, 0.6643), Zn at (0.0660, 0.5039, 0.6734) and Cu at (0.0333, 0.7578, 0.3251).


Here is a relaxed Li5Zn2Cu4 crystal from Alexandria. Energies are from PBE.

As for the relative energy among the computed polymorphs: 13 meV per atom. As for the total DFT energy (no corrections): -0.0953 Ha/atom. The calculation puts the density of states at the Fermi level at 7.03 states/eV per cell. Its calculated density is 4.5 g/cm3.

The structure belongs to space group C2/m (No. 12); the cell edges are 9.578, 4.751 and 7.374 Å and the angles 90.00°, 112.88° and 90.00°. The asymmetric unit holds Li at (0.000, 0.000, 0.000), Li at (0.007, 0.255, 0.693), Zn at (0.226, 0.000, 0.590), Cu at (0.223, 0.500, 0.057) and Cu at (0.248, 0.000, 0.265).


Here is a relaxed Li3Zn7Cu crystal from Alexandria. Energies are from PBE.

As for the total DFT energy (no corrections): -0.0646 Ha/atom. The calculation puts the density of states at the Fermi level at 13.29 states/eV per cell. Its calculated density is 5.2 g/cm3.

The structure belongs to space group Cmcm (No. 63); the cell edges are 2.685, 18.637 and 13.929 Å and the angles 90.00°, 90.00° and 90.00°. The asymmetric unit holds Li at (0.000, 0.119, 0.021), Li at (0.000, 0.246, 0.750), Zn at (0.000, 0.256, 0.079), Zn at (0.000, 0.374, 0.160), Zn at (0.000, 0.397, 0.750), Zn at (0.000, 0.500, 0.091) and Cu at (0.000, 0.021, 0.750).


Here is a relaxed LiZn2Cu2 crystal from Alexandria. Energies are from PBE.

As for the relative energy among the computed polymorphs: 7 meV per atom. As for the total DFT energy (no corrections): -0.0976 Ha/atom. The calculation puts the density of states at the Fermi level at 3.09 states/eV per cell. Its calculated density is 6.7 g/cm3.

The structure belongs to space group C2/m (No. 12); the cell edges are 8.215, 3.798 and 5.821 Å and the angles 90.00°, 133.95° and 90.00°. The asymmetric unit holds Li at (0.000, 0.000, 0.000), Zn at (0.091, 0.500, 0.792) and Cu at (0.201, 0.000, 0.604).


Here is a relaxed LiZn2Cu2 crystal from Alexandria. Energies are from PBE.

As for the relative energy among the computed polymorphs: 8 meV per atom. As for the total DFT energy (no corrections): -0.0975 Ha/atom. The calculation puts the density of states at the Fermi level at 3.03 states/eV per cell. Its calculated density is 6.2 g/cm3.

The structure belongs to space group P4/mbm (No. 127); the cell edges are 7.236, 7.236 and 2.701 Å and the angles 90.00°, 90.00° and 90.00°. The asymmetric unit holds Li at (0.000, 0.000, 0.000), Zn at (0.172, 0.328, 0.500) and Cu at (0.125, 0.625, 0.000).


Here is a relaxed Li2ZnCu crystal from Alexandria. Energies are from PBE.

As for the total DFT energy (no corrections): -0.0880 Ha/atom. The calculation puts the density of states at the Fermi level at 2.52 states/eV per cell. Its calculated density is 4.3 g/cm3.

The structure belongs to space group I4/mmm (No. 139); the cell edges are 3.752, 3.752 and 7.880 Å and the angles 90.00°, 90.00° and 90.00°. The asymmetric unit holds Li at (0.000, 0.500, 0.250), Zn at (0.000, 0.000, 0.000) and Cu at (0.000, 0.000, 0.500).


Here is a relaxed Li4Zn2Cu3 crystal from Alexandria. Energies are from PBE.

As for the total DFT energy (no corrections): -0.0957 Ha/atom. The calculation puts the density of states at the Fermi level at 6.04 states/eV per cell. Its calculated density is 4.8 g/cm3.

The structure belongs to space group C2/m (No. 12); the cell edges are 9.213, 4.272 and 7.553 Å and the angles 90.00°, 125.54° and 90.00°. The asymmetric unit holds Li at (0.166, 0.000, 0.151), Li at (0.211, 0.500, 0.374), Zn at (0.058, 0.000, 0.720), Cu at (0.000, 0.500, 0.500) and Cu at (0.108, 0.500, 0.935).


Here is a relaxed LiZn4Cu15 crystal from Alexandria. Energies are from PBE.

As for the total DFT energy (no corrections): -0.1278 Ha/atom. The calculation puts the density of states at the Fermi level at 11.28 states/eV per cell. Its calculated density is 8.2 g/cm3.

The structure belongs to space group P4/mmm (No. 123); the cell edges are 3.618, 3.618 and 18.899 Å and the angles 90.00°, 90.00° and 90.00°. The asymmetric unit holds Li at (0.000, 0.000, 0.000), Zn at (0.000, 0.000, 0.198), Zn at (0.000, 0.000, 0.400), Cu at (0.000, 0.500, 0.099), Cu at (0.000, 0.500, 0.299), Cu at (0.000, 0.500, 0.500), Cu at (0.500, 0.500, 0.000), Cu at (0.500, 0.500, 0.199) and Cu at (0.500, 0.500, 0.399).